# 1
DFT (PBE) results for a relaxed structure of ZrPt2N.

## Properties
formation energy without anion corrections = 0.059 eV per atom
uncorrected energy = -28.7 eV per formula unit
D(E_F) = 7.60 states/eV per cell
space-group type = I-42d (122)

Cell: 6.9382 6.9382 6.9382 Å, 138.12 138.12 60.72°
With the nearest neighbours (Å) after each atom.
Sites, in units of the cell vectors:
Zr: 0.0000 0.0000 0.0000  4 Pt 2.68
Zr: 0.7500 0.2500 0.5000  4 Pt 2.68
Pt: 0.2466 0.6250 0.1216  2 N 2.05
Pt: 0.3750 0.4966 0.6216  2 N 2.05
Pt: 0.5034 0.1250 0.8784  2 N 2.05
Pt: 0.8750 0.7534 0.3784  2 N 2.05
N: 0.2500 0.7500 0.5000  4 Pt 2.05
N: 0.5000 0.5000 0.0000  4 Pt 2.05

=====

# 2
DFT (PBE) results for a relaxed structure of Zr3PtN.

## Properties
formation energy without anion corrections = -0.540 eV per atom
uncorrected energy = -42.7 eV per formula unit
D(E_F) = 6.26 states/eV per cell
space-group type = R3m (160)

Cell: 4.5595 4.5595 4.5595 Å, 90.97 90.97 90.97°
With the nearest neighbours (Å) after each atom.
Sites, in units of the cell vectors:
Zr: 0.1675 0.1675 0.6650  1 N 2.05
Zr: 0.1675 0.6650 0.1675  1 N 2.05
Zr: 0.6650 0.1675 0.1675  1 N 2.05
Pt: 0.6219 0.6219 0.6219  1 N 2.14
N: 0.8977 0.8977 0.8977  3 Zr 2.05, 1 Pt 2.14

=====

# 3
DFT (PBE) results for a relaxed structure of Zr3PtN.

## Properties
formation energy without anion corrections = -0.549 eV per atom
uncorrected energy = -42.8 eV per formula unit
D(E_F) = 14.05 states/eV per cell
space-group type = Fd-3m (227)

Cell: 8.2582 8.2582 8.2582 Å, 60.00 60.00 60.00°
With the nearest neighbours (Å) after each atom.
Sites, in units of the cell vectors:
Zr: 0.0744 0.0744 0.6756  2 N 2.24
Zr: 0.0744 0.6756 0.0744  2 N 2.24
Zr: 0.0744 0.6756 0.6756  2 N 2.24
Zr: 0.3244 0.3244 0.9256  2 N 2.24
Zr: 0.3244 0.9256 0.3244  2 N 2.24
Zr: 0.3244 0.9256 0.9256  2 N 2.24
Zr: 0.6756 0.0744 0.0744  2 N 2.24
Zr: 0.6756 0.0744 0.6756  2 N 2.24
Zr: 0.6756 0.6756 0.0744  2 N 2.24
Zr: 0.9256 0.3244 0.3244  2 N 2.24
Zr: 0.9256 0.3244 0.9256  2 N 2.24
Zr: 0.9256 0.9256 0.3244  2 N 2.24
Pt: 0.0000 0.5000 0.5000  6 Zr 2.91
Pt: 0.5000 0.0000 0.5000  6 Zr 2.91
Pt: 0.5000 0.5000 0.0000  6 Zr 2.91
Pt: 0.5000 0.5000 0.5000  6 Zr 2.91
N: 0.0000 0.0000 0.0000  6 Zr 2.24
N: 0.0000 0.0000 0.5000  6 Zr 2.24
N: 0.0000 0.5000 0.0000  6 Zr 2.24
N: 0.5000 0.0000 0.0000  6 Zr 2.24

=====

# 4
DFT (PBE) results for a relaxed structure of Zr3PtN.

## Properties
formation energy without anion corrections = -1.041 eV per atom
uncorrected energy = -45.2 eV per formula unit
D(E_F) = 20.34 states/eV per cell
space-group type = C2/c (15)

Cell: 8.0438 8.0438 5.5461 Å, 93.29 93.29 96.78°
With the nearest neighbours (Å) after each atom.
Sites, in units of the cell vectors:
Zr: 0.0441 0.7504 0.9493  1 N 2.35
Zr: 0.1799 0.5738 0.4017  2 N 2.25-2.27
Zr: 0.2496 0.9559 0.5507  1 N 2.35
Zr: 0.3080 0.4555 0.8952  3 N 2.25-2.28
Zr: 0.4262 0.8201 0.0983  2 N 2.25-2.27
Zr: 0.4555 0.3080 0.3952  3 N 2.25-2.28
Zr: 0.5445 0.6920 0.6048  3 N 2.25-2.28
Zr: 0.5738 0.1799 0.9017  2 N 2.25-2.27
Zr: 0.6920 0.5445 0.1048  3 N 2.25-2.28
Zr: 0.7504 0.0441 0.4493  1 N 2.35
Zr: 0.8201 0.4262 0.5983  2 N 2.25-2.27
Zr: 0.9559 0.2496 0.0507  1 N 2.35
Pt: 0.0933 0.2399 0.5644  7 Zr 2.73-3.03
Pt: 0.2399 0.0933 0.0644  7 Zr 2.73-3.03
Pt: 0.7601 0.9067 0.9356  7 Zr 2.73-3.03
Pt: 0.9067 0.7601 0.4356  7 Zr 2.73-3.03
N: 0.2884 0.7116 0.7500  6 Zr 2.25-2.35
N: 0.4351 0.5649 0.2500  6 Zr 2.25-2.28
N: 0.5649 0.4351 0.7500  6 Zr 2.25-2.28
N: 0.7116 0.2884 0.2500  6 Zr 2.25-2.35

=====

# 5
DFT (PBE) results for a relaxed structure of Zr3PtN.

## Properties
formation energy without anion corrections = -1.022 eV per atom
uncorrected energy = -45.1 eV per formula unit
D(E_F) = 6.45 states/eV per cell
space-group type = P1 (1)

Cell: 5.6262 6.1347 6.3984 Å, 61.41 70.43 89.97°
With the nearest neighbours (Å) after each atom.
Sites, in units of the cell vectors:
Zr: 0.0000 0.0000 0.0000  2 N 2.18-2.25
Zr: 0.9996 0.4988 0.0005  2 N 2.18-2.25
Zr: 0.3946 0.2857 0.4327  2 N 2.26-2.29
Zr: 0.3952 0.7807 0.4336  2 N 2.26-2.29
Zr: 0.5460 0.3021 0.8928  2 N 2.09-2.32
Zr: 0.8487 0.9753 0.5487  1 N 2.30
Pt: 0.4514 0.7552 0.9890  3 Zr 2.63-2.84
Pt: 0.9291 0.5303 0.4410  3 Zr 2.63-2.81
N: 0.2501 0.3729 0.7536  5 Zr 2.09-2.26
N: 0.7030 0.1404 0.2187  6 Zr 2.25-2.32

=====

# 6
DFT (PBE) results for a relaxed structure of Zr3PtN.

## Properties
formation energy without anion corrections = -0.828 eV per atom
uncorrected energy = -44.2 eV per formula unit
D(E_F) = 7.83 states/eV per cell
space-group type = P6_3/mmc (194)

Cell: 3.9763 3.9763 14.3563 Å, 90.00 90.00 120.00°
With the nearest neighbours (Å) after each atom.
Sites, in units of the cell vectors:
Zr: 0.0000 0.0000 0.2500  3 N 2.30
Zr: 0.0000 0.0000 0.7500  3 N 2.30
Zr: 0.3333 0.6667 0.0989  1 N 2.17
Zr: 0.3333 0.6667 0.4011  1 N 2.17
Zr: 0.6667 0.3333 0.5989  1 N 2.17
Zr: 0.6667 0.3333 0.9011  1 N 2.17
Pt: 0.0000 0.0000 0.0000  6 Zr 2.70
Pt: 0.0000 0.0000 0.5000  6 Zr 2.70
N: 0.3333 0.6667 0.2500  5 Zr 2.17-2.30
N: 0.6667 0.3333 0.7500  5 Zr 2.17-2.30